No. 1
Compound: SrTlS2
Source: the Alexandria database
Functional: GGA-PBE
Structure: relaxed

a b c (Å): 5.782 4.489 18.075
angles (deg): 90.00 90.00 90.00
Space group Pnma (No. 62)
Unique sites:
Sr1 0.250 0.250 0.063 (multiplicity 4)
Tl1 0.249 0.250 0.833 (multiplicity 4)
S1 0.249 0.250 0.671 (multiplicity 4)
S2 0.250 0.250 0.445 (multiplicity 4)

DFT total energy	-66.7	eV for the cell shown

=====

No. 2
Compound: ZnSbTe2
Source: the Alexandria database
Functional: GGA-PBE
Structure: relaxed

a b c (Å): 7.462 7.462 7.462
angles (deg): 90.00 90.00 90.00
Space group Fm-3m (No. 225)
Unique sites:
Zn1 0.000 0.000 0.000 (multiplicity 4)
Sb1 0.000 0.000 0.500 (multiplicity 4)
Te1 0.250 0.250 0.250 (multiplicity 8)

energy above the lowest structure with this stoichiometry	304.9	meV per atom
DFT total energy	-43.4	eV for the cell shown

=====

No. 3
Compound: Ca2SiIr
Source: the Alexandria database
Functional: GGA-PBE
Structure: relaxed

a b c (Å): 7.118 4.111 8.001
angles (deg): 90.00 107.14 90.00
Space group Cm (No. 8)
Unique sites:
Ca1 0.000 0.000 0.000 (multiplicity 2)
Ca2 0.172 0.000 0.520 (multiplicity 2)
Si1 0.419 0.000 0.260 (multiplicity 2)
Ir1 0.253 0.500 0.261 (multiplicity 2)

DFT total energy	-41.5	eV for the cell shown

=====

The records above give, respectively, N(E_F) values of 9.07; 11.86; 5.31 states/eV/cell.
The records above give, respectively, E_form (uncorrected) values of -1.09; 0.21; -0.61 eV/atom.